# 1
VASP calculation (PBE-GGA) on a relaxed Sm2Ho4Tm5 crystal.

Lattice parameters (Å, degrees): 3.5218 9.3259 11.6897 106.39 81.36 112.21
With the nearest neighbours (Å) after each atom.
Element x y z (fractional)
Sm  0.8635  0.2710  0.8170  5 Tm 3.52-3.53, 2 Sm 3.52, 5 Ho 3.54-3.56
Sm  0.1365  0.7290  0.1830  5 Tm 3.52-3.53, 2 Sm 3.52, 5 Ho 3.54-3.56
Ho  0.7715  0.4537  0.3643  5 Tm 3.50-3.54, 6 Ho 3.51-3.52, 1 Sm 3.54
Ho  0.3150  0.3613  0.0923  3 Tm 3.49-3.51, 5 Ho 3.52-3.58, 4 Sm 3.55-3.56
Ho  0.2285  0.5463  0.6357  5 Tm 3.50-3.54, 6 Ho 3.51-3.52, 1 Sm 3.54
Ho  0.6850  0.6387  0.9077  3 Tm 3.49-3.51, 5 Ho 3.52-3.58, 4 Sm 3.55-3.56
Tm  0.9548  0.0917  0.2734  3 Ho 3.49-3.52, 7 Tm 3.50-3.53, 2 Sm 3.52
Tm  0.0452  0.9083  0.7266  3 Ho 3.49-3.52, 7 Tm 3.50-3.53, 2 Sm 3.52
Tm  0.5905  0.8190  0.4562  3 Ho 3.50-3.54, 7 Tm 3.50-3.53, 2 Sm 3.53
Tm  0.5000  0.0000  0.0000  4 Ho 3.51, 2 Sm 3.52, 6 Tm 3.52-3.53
Tm  0.4095  0.1810  0.5438  3 Ho 3.50-3.54, 7 Tm 3.50-3.53, 2 Sm 3.53

Properties
The distance to the lowest polymorph of the same formula is 0 meV/atom. The uncorrected energy comes out at -49.87 eV/cell.

=====

# 2
VASP calculation (PBE-GGA) on a relaxed LiZnIn2Ni crystal.

Lattice parameters (Å, degrees): 4.8848 4.8848 4.6929 90.00 90.00 90.00
With the nearest neighbours (Å) after each atom.
Element x y z (fractional)
Ni  0.0000  0.0000  0.0000  2 Zn 2.35, 4 In 2.44
Zn  0.0000  0.0000  0.5000  2 Ni 2.35
Li  0.5000  0.5000  0.5000  8 In 3.39, 4 Zn 3.45
In  0.0000  0.5000  0.0000  2 Ni 2.44
In  0.5000  0.0000  0.0000  2 Ni 2.44

Properties
The uncorrected energy comes out at -14.57 eV/cell.

=====

# 3
VASP calculation (PBE-GGA) on a relaxed Sc2CuF crystal.

Lattice parameters (Å, degrees): 7.2353 7.2353 7.2353 30.59 30.59 30.59
With the nearest neighbours (Å) after each atom.
Element x y z (fractional)
Sc  0.9015  0.9015  0.9015  1 F 2.04
Sc  0.0985  0.0985  0.0985  1 F 2.04
Cu  0.5000  0.5000  0.5000  6 Sc 2.62
F  0.0000  0.0000  0.0000  2 Sc 2.04

Properties
The distance to the lowest polymorph of the same formula is 0 meV/atom. The uncorrected energy comes out at -23.39 eV/cell. The formation energy (no corrections) comes out at -1190 meV/atom.

=====

Which of these has the highest uncorrected energy?
LiZnIn2Ni